Entry 1:
Entry from Alexandria: a geometry-optimized Ti3MoPb structure (PBE).

Values from the calculation:
Formation enthalpy at 0 K in eV per atom: 0.6233
Space group: Pm-3m (221)
Energy above the lowest structure with this stoichiometry in eV per atom: 0.5242

Lattice parameters (Å, degrees): 4.7876 4.7876 4.7876 90.00 90.00 90.00
Last column: nearest neighbours and their distance in Å.
Positions (direct):
Ti: 0.0000 0.0000 0.5000  2 Mo 2.39
Ti: 0.0000 0.5000 0.0000  2 Mo 2.39
Ti: 0.5000 0.0000 0.0000  2 Mo 2.39
Mo: 0.0000 0.0000 0.0000  6 Ti 2.39
Pb: 0.5000 0.5000 0.5000  12 Ti 3.39

Entry 2:
Entry from Alexandria: a geometry-optimized KCe2Pm3Te6 structure (PBE).

Values from the calculation:
E_form (uncorrected) in eV/atom: -1.375
Space group: C2/m (12)

Lattice parameters (Å, degrees): 10.1652 10.1652 9.2005 103.61 103.61 25.44
Last column: nearest neighbours and their distance in Å.
Positions (direct):
K: 0.0000 0.0000 0.0000  6 Te 3.28-3.31
Ce: 0.3310 0.3310 0.6608  6 Te 3.19-3.26
Ce: 0.6690 0.6690 0.3392  6 Te 3.19-3.26
Pm: 0.0000 0.0000 0.5000  6 Te 3.14-3.18
Pm: 0.3372 0.3372 0.1752  6 Te 3.16-3.24
Pm: 0.6628 0.6628 0.8248  6 Te 3.16-3.24
Te: 0.1651 0.1651 0.5840  3 Pm 3.16-3.18, 3 Ce 3.19
Te: 0.1721 0.1721 0.0831  3 Pm 3.18-3.24, 2 Ce 3.26, 1 K 3.31
Te: 0.4980 0.4980 0.7376  3 Pm 3.14-3.17, 1 Ce 3.22, 2 K 3.28
Te: 0.5020 0.5020 0.2624  3 Pm 3.14-3.17, 1 Ce 3.22, 2 K 3.28
Te: 0.8279 0.8279 0.9169  3 Pm 3.18-3.24, 2 Ce 3.26, 1 K 3.31
Te: 0.8349 0.8349 0.4160  3 Pm 3.16-3.18, 3 Ce 3.19

Entry 3:
Entry from Alexandria: a geometry-optimized Be2CdPb structure (PBE).

Values from the calculation:
Formation enthalpy at 0 K in eV per atom: 0.7658
Space group: P4/mmm (123)
Energy above the lowest structure with this stoichiometry in eV per atom: 0.3617

Lattice parameters (Å, degrees): 4.7525 4.7525 3.2517 90.00 90.00 90.00
Last column: nearest neighbours and their distance in Å.
Positions (direct):
Be: 0.0000 0.5000 0.0000  4 Pb 2.88, 4 Cd 2.88
Be: 0.5000 0.0000 0.0000  4 Pb 2.88, 4 Cd 2.88
Cd: 0.0000 0.0000 0.5000  8 Be 2.88
Pb: 0.5000 0.5000 0.5000  8 Be 2.88